{"formula": "RbSnSeI2", "functional": "PBE-GGA", "state": "optimized geometry", "cell": [[6.2545, 0.0000, 0.0000], [0.0000, 6.2545, 0.0000], [0.0000, 0.0000, 5.3097]], "species": ["Rb", "Sn", "Se", "I", "I"], "frac_coords": [[0.0000, 0.0000, 0.0000], [0.5000, 0.5000, 0.5000], [0.5000, 0.5000, 0.0000], [0.0000, 0.5000, 0.5000], [0.5000, 0.0000, 0.5000]], "space_group": "No. 123", "e_form_raw_ev_per_atom": -0.670, "rho_g_cm3": 4.29, "n_ef_per_ev_cell": 4.8, "final_energy_ev_per_atom": -2.981}